Tm2Al5Tc (GGA-PBE, relaxed); D(E_F) = 4.816 states/eV/cell; DFT formation energy = -0.282 eV/atom
1.0
-3.191 3.191 3.616
3.191 -3.191 3.616
3.191 3.191 -3.616
Tm Al Tc
2 5 1
direct
0.000 0.500 0.500
0.500 0.000 0.500
0.046 0.046 0.000
0.538 0.538 0.575
0.538 0.963 0.000
0.963 0.538 0.000
0.963 0.963 0.425
0.406 0.406 0.000